The following is a GGA-PBE calculation of a relaxed Ce2ZrSbN5 crystal, from the Alexandria database.

Cell lengths 7.2444, 7.2444, 10.6617 Å; angles 90.00, 90.00, 152.80 degrees
Last column: nearest neighbours and their distance in Å.
Element x y z (fractional)
1 Ce 0.1221 0.8779 0.5000  3 N 2.33-2.60
2 Ce 0.1421 0.8579 0.0744  6 N 2.45-2.63
3 Ce 0.8579 0.1421 0.5744  6 N 2.45-2.63
4 Ce 0.8779 0.1221 0.0000  3 N 2.33-2.60
5 Zr 0.2233 0.7767 0.7971  5 N 2.09-2.31
6 Zr 0.7767 0.2233 0.2971  5 N 2.09-2.31
7 Sb 0.4847 0.5153 0.2631  4 N 2.03-2.07
8 Sb 0.5153 0.4847 0.7631  4 N 2.03-2.07
9 N 0.0584 0.9416 0.8540  2 Sb 2.05
10 N 0.2821 0.7179 0.4432  2 Zr 2.31, 3 Ce 2.33-2.45
11 N 0.3051 0.6949 0.1602  2 Zr 2.28, 1 Ce 2.47
12 N 0.3717 0.6283 0.8029  1 Sb 2.07, 1 Zr 2.09
13 N 0.4948 0.5052 0.5747  1 Sb 2.03
14 N 0.5052 0.4948 0.0747  1 Sb 2.03
15 N 0.6283 0.3717 0.3029  1 Sb 2.07, 1 Zr 2.09
16 N 0.6949 0.3051 0.6602  2 Zr 2.28, 1 Ce 2.47
17 N 0.7179 0.2821 0.9432  2 Zr 2.31, 3 Ce 2.33-2.45
18 N 0.9416 0.0584 0.3540  2 Sb 2.05

Properties
magnetization	1.3	μB/f.u.
density of states at the Fermi level	18.85	states/eV per cell
raw formation energy	-0.882	eV/atom